a:
An optimized crystal structure of LaErZnCd, computed with PBE.

abc: 3.651 3.651 7.797
angles: 90.00 90.00 90.00
Positions (direct):
La  0.000  0.000  0.000
Er  0.000  0.000  0.460
Zn  0.500  0.500  0.259
Cd  0.500  0.500  0.705

Density of states at the Fermi level in states/eV/f.u.: 4.25
SG: P4mm

---

b:
An optimized crystal structure of LaErZnCd, computed with PBE.

abc: 5.308 5.308 5.308
angles: 60.00 60.00 60.00
Positions (direct):
La  0.000  0.000  0.000
Er  0.500  0.500  0.500
Zn  0.750  0.750  0.750
Cd  0.250  0.250  0.250

Density of states at the Fermi level in states/eV/f.u.: 5.19
SG: F-43m

---

Verdict on stability: a comes out on top.

---

a:
An optimized crystal structure of LiErCd4, computed with PBE.

abc: 5.823 5.823 5.823
angles: 60.00 60.00 60.00
Positions (direct):
Li  0.000  0.000  0.000
Er  0.750  0.750  0.750
Cd  0.375  0.375  0.375
Cd  0.375  0.375  0.876
Cd  0.375  0.876  0.375
Cd  0.876  0.375  0.375

Density of states at the Fermi level in states/eV/f.u.: 3.18
SG: F-43m

---

b:
An optimized crystal structure of LiErCd4, computed with PBE.

abc: 5.356 5.356 7.369
angles: 108.66 108.66 42.64
Positions (direct):
Li  0.000  0.000  0.000
Er  0.000  0.000  0.500
Cd  0.335  0.335  0.150
Cd  0.336  0.336  0.695
Cd  0.664  0.664  0.305
Cd  0.665  0.665  0.850

Density of states at the Fermi level in states/eV/f.u.: 2.61
SG: C2/m

---

Verdict on stability: b comes out on top.

---

a:
An optimized crystal structure of LiEr3Cd2, computed with PBE.

abc: 8.197 8.197 3.769
angles: 90.00 90.00 143.15
Positions (direct):
Li  0.000  0.000  0.000
Er  0.167  0.833  0.500
Er  0.500  0.500  0.500
Er  0.833  0.167  0.500
Cd  0.337  0.663  0.000
Cd  0.663  0.337  0.000

Density of states at the Fermi level in states/eV/f.u.: 7.47
SG: Cmmm

---

b:
An optimized crystal structure of LiEr3Cd2, computed with PBE.

abc: 3.721 3.721 11.017
angles: 90.00 90.00 90.00
Positions (direct):
Li  0.000  0.000  0.000
Er  0.500  0.500  0.167
Er  0.500  0.500  0.500
Er  0.500  0.500  0.833
Cd  0.000  0.000  0.330
Cd  0.000  0.000  0.670

Density of states at the Fermi level in states/eV/f.u.: 6.95
SG: P4/mmm

---

Verdict on stability: a comes out on top.

---

a:
An optimized crystal structure of LiErCd, computed with PBE.

abc: 4.965 4.965 3.219
angles: 90.00 90.00 120.00
Positions (direct):
Li  0.000  0.000  0.000
Er  0.667  0.333  0.500
Cd  0.333  0.667  0.000

Density of states at the Fermi level in states/eV/f.u.: 1.76
SG: P-6m2

---

b:
An optimized crystal structure of LiErCd, computed with PBE.

abc: 5.623 5.623 5.623
angles: 141.29 141.29 55.90
Positions (direct):
Li  0.000  0.000  0.000
Er  0.314  0.314  0.000
Cd  0.635  0.635  0.000

Density of states at the Fermi level in states/eV/f.u.: 1.46
SG: I4mm

---

Verdict on stability: a comes out on top.

---

a:
An optimized crystal structure of LiErCd, computed with PBE.

abc: 4.697 4.874 6.203
angles: 90.00 112.15 90.00
Positions (direct):
Li  0.240  0.250  0.480
Li  0.760  0.750  0.520
Er  0.093  0.750  0.186
Er  0.907  0.250  0.814
Cd  0.399  0.750  0.798
Cd  0.601  0.250  0.202

Density of states at the Fermi level in states/eV/f.u.: 1.80
SG: P2_1/m

---

b:
An optimized crystal structure of LiErCd, computed with PBE.

abc: 3.495 11.359 3.497
angles: 90.00 90.00 90.00
Positions (direct):
Li  0.000  0.072  0.000
Li  0.500  0.928  0.500
Er  0.000  0.391  0.002
Er  0.500  0.609  0.502
Cd  0.000  0.795  0.002
Cd  0.500  0.205  0.502

Density of states at the Fermi level in states/eV/f.u.: 3.50
SG: Pmn2_1

---

Verdict on stability: b comes out on top.

---

a:
An optimized crystal structure of LiEr2Cd, computed with PBE.

abc: 11.661 11.661 11.661
angles: 16.70 16.70 16.70
Positions (direct):
Li  0.000  0.000  0.000
Er  0.093  0.093  0.093
Er  0.907  0.907  0.907
Cd  0.500  0.500  0.500

Density of states at the Fermi level in states/eV/f.u.: 4.64
SG: R-3m

---

b:
An optimized crystal structure of LiEr2Cd, computed with PBE.

abc: 5.175 5.175 3.750
angles: 90.00 90.00 90.00
Positions (direct):
Li  0.000  0.000  0.000
Er  0.000  0.500  0.500
Er  0.500  0.000  0.500
Cd  0.500  0.500  0.000

Density of states at the Fermi level in states/eV/f.u.: 3.68
SG: P4/mmm

---

Verdict on stability: b comes out on top.

---

a:
An optimized crystal structure of Li3Er2Cd4, computed with PBE.

abc: 4.815 5.574 8.276
angles: 77.09 89.73 64.56
Positions (direct):
Li  0.000  0.000  0.000
Li  0.368  0.266  0.469
Li  0.632  0.734  0.531
Er  0.251  0.495  0.795
Er  0.749  0.505  0.205
Cd  0.079  0.842  0.361
Cd  0.434  0.133  0.161
Cd  0.566  0.867  0.839
Cd  0.921  0.158  0.639

Density of states at the Fermi level in states/eV/f.u.: 5.67
SG: P-1

---

b:
An optimized crystal structure of Li3Er2Cd4, computed with PBE.

abc: 8.488 8.488 8.329
angles: 90.00 90.00 139.27
Positions (direct):
Li  0.000  0.000  0.000
Li  0.025  0.475  0.250
Li  0.475  0.025  0.750
Li  0.500  0.500  0.500
Li  0.525  0.975  0.250
Li  0.975  0.525  0.750
Er  0.109  0.891  0.408
Er  0.391  0.609  0.908
Er  0.609  0.391  0.092
Er  0.891  0.109  0.592
Cd  0.181  0.819  0.028
Cd  0.195  0.305  0.250
Cd  0.305  0.195  0.750
Cd  0.319  0.681  0.528
Cd  0.681  0.319  0.472
Cd  0.695  0.805  0.250
Cd  0.805  0.695  0.750
Cd  0.819  0.181  0.972

Density of states at the Fermi level in states/eV/f.u.: 4.96
SG: Cmce

---

Verdict on stability: a comes out on top.

---

a:
An optimized crystal structure of ErLuCd, computed with PBE.

abc: 6.987 6.987 6.987
angles: 150.78 150.78 41.80
Positions (direct):
Er  0.000  0.000  0.000
Lu  0.685  0.685  0.000
Cd  0.340  0.340  0.000

Density of states at the Fermi level in states/eV/f.u.: 3.29
SG: I4mm

---

b:
An optimized crystal structure of ErLuCd, computed with PBE.

abc: 5.204 5.204 3.463
angles: 90.00 90.00 120.00
Positions (direct):
Er  0.000  0.000  0.000
Lu  0.667  0.333  0.553
Cd  0.333  0.667  0.307

Density of states at the Fermi level in states/eV/f.u.: 3.26
SG: P3m1

---

Verdict on stability: a comes out on top.

---

a:
An optimized crystal structure of Er3Mg3Cd2, computed with PBE.

abc: 5.108 5.110 7.642
angles: 90.00 90.00 90.00
Positions (direct):
Er  0.000  0.000  0.000
Er  0.000  0.000  0.500
Er  0.500  0.500  0.000
Mg  0.000  0.500  0.263
Mg  0.000  0.500  0.737
Mg  0.500  0.500  0.500
Cd  0.500  0.000  0.258
Cd  0.500  0.000  0.742

Density of states at the Fermi level in states/eV/f.u.: 4.77
SG: Pmmm

---

b:
An optimized crystal structure of Er3Mg3Cd2, computed with PBE.

abc: 7.963 7.963 3.852
angles: 90.00 90.00 120.00
Positions (direct):
Er  0.000  0.404  0.000
Er  0.404  0.000  0.000
Er  0.596  0.596  0.000
Mg  0.000  0.767  0.500
Mg  0.233  0.233  0.500
Mg  0.767  0.000  0.500
Cd  0.333  0.667  0.500
Cd  0.667  0.333  0.500

Density of states at the Fermi level in states/eV/f.u.: 8.72
SG: P-62m

---

Verdict on stability: a comes out on top.

---

a:
An optimized crystal structure of Er3MgCd4, computed with PBE.

abc: 5.106 5.106 7.497
angles: 90.00 90.00 90.00
Positions (direct):
Er  0.000  0.000  0.000
Er  0.000  0.000  0.500
Er  0.500  0.500  0.000
Mg  0.500  0.500  0.500
Cd  0.000  0.500  0.261
Cd  0.000  0.500  0.739
Cd  0.500  0.000  0.261
Cd  0.500  0.000  0.739

Density of states at the Fermi level in states/eV/f.u.: 3.81
SG: P4/mmm

---

b:
An optimized crystal structure of Er3MgCd4, computed with PBE.

abc: 10.402 10.402 10.402
angles: 161.24 144.60 40.36
Positions (direct):
Er  0.000  0.000  0.000
Er  0.264  0.764  0.500
Er  0.736  0.236  0.500
Mg  0.500  0.500  0.000
Cd  0.119  0.378  0.741
Cd  0.363  0.622  0.741
Cd  0.637  0.378  0.259
Cd  0.881  0.622  0.259

Density of states at the Fermi level in states/eV/f.u.: 6.35
SG: Immm

---

Verdict on stability: a comes out on top.

---

a:
An optimized crystal structure of ErMg2Cd3, computed with PBE.

abc: 3.477 3.477 11.277
angles: 90.00 90.00 90.00
Positions (direct):
Er  0.000  0.000  0.000
Mg  0.000  0.000  0.342
Mg  0.000  0.000  0.658
Cd  0.500  0.500  0.184
Cd  0.500  0.500  0.500
Cd  0.500  0.500  0.816

Density of states at the Fermi level in states/eV/f.u.: 3.11
SG: P4/mmm

---

b:
An optimized crystal structure of ErMg2Cd3, computed with PBE.

abc: 4.913 4.913 13.167
angles: 90.00 90.00 120.00
Positions (direct):
Er  0.000  0.000  0.250
Er  0.000  0.000  0.750
Mg  0.333  0.667  0.101
Mg  0.333  0.667  0.399
Mg  0.667  0.333  0.601
Mg  0.667  0.333  0.899
Cd  0.000  0.000  0.000
Cd  0.000  0.000  0.500
Cd  0.333  0.667  0.636
Cd  0.333  0.667  0.864
Cd  0.667  0.333  0.136
Cd  0.667  0.333  0.364

Density of states at the Fermi level in states/eV/f.u.: 3.12
SG: P6_3/mmc

---

Verdict on stability: b comes out on top.

---

a:
An optimized crystal structure of ErMgCd4, computed with PBE.

abc: 6.035 6.035 6.853
angles: 107.61 107.61 36.39
Positions (direct):
Er  0.000  0.000  0.000
Mg  0.000  0.000  0.500
Cd  0.327  0.327  0.659
Cd  0.330  0.330  0.174
Cd  0.670  0.670  0.826
Cd  0.673  0.673  0.341

Density of states at the Fermi level in states/eV/f.u.: 2.49
SG: C2/m

---

b:
An optimized crystal structure of ErMgCd4, computed with PBE.

abc: 4.235 4.235 9.274
angles: 90.00 90.00 90.00
Positions (direct):
Er  0.000  0.000  0.000
Mg  0.500  0.500  0.500
Cd  0.000  0.500  0.260
Cd  0.000  0.500  0.740
Cd  0.500  0.000  0.260
Cd  0.500  0.000  0.740

Density of states at the Fermi level in states/eV/f.u.: 3.16
SG: P4/mmm

---

c:
An optimized crystal structure of ErMgCd4, computed with PBE.

abc: 5.835 5.835 5.835
angles: 60.00 60.00 60.00
Positions (direct):
Er  0.000  0.000  0.000
Mg  0.750  0.750  0.750
Cd  0.375  0.375  0.375
Cd  0.375  0.375  0.876
Cd  0.375  0.876  0.375
Cd  0.876  0.375  0.375

Density of states at the Fermi level in states/eV/f.u.: 4.80
SG: F-43m

---

Verdict on stability: a comes out on top.